Entry from OQMD via LeMat-Bulk: an optimized crystal structure of TbTlCoO3 (PBE+U).

Total energy in eV per atom: -5.820
Mass density in Mg/m³: 8.01
SG: No. 63

Lattice parameters (Å, degrees): 3.1019 7.9472 8.0636 90.00 90.00 78.75
Closest atoms and distances in Å follow each position.
Atoms (fractional coordinates):
O 0.1352 0.7296 0.4064  2 Co 2.00, 1 Tb 2.24
Tb 0.0000 0.0000 0.0000  4 O 2.17-2.24
Co 0.3579 0.2842 0.7500  4 O 2.00
Co 0.6421 0.7158 0.2500  4 O 2.00
O 0.9480 0.1040 0.2500  2 Tb 2.17
O 0.8648 0.2704 0.5936  2 Co 2.00, 1 Tb 2.24
Tl 0.3202 0.3596 0.2500  2 O 2.52
O 0.8648 0.2704 0.9064  2 Co 2.00, 1 Tb 2.24
O 0.1352 0.7296 0.0936  2 Co 2.00, 1 Tb 2.24
Tb 0.0000 0.0000 0.5000  4 O 2.17-2.24
Tl 0.6798 0.6404 0.7500  2 O 2.52
O 0.0520 0.8960 0.7500  2 Tb 2.17